# KTlFe2Cl6, optimized geometry, DFT PBE
# energy: -4.163 eV/atom
# raw formation energy: -1.0165 eV per atom
data_KTlFe2Cl6
_chemical_formula_sum 'K4 Tl4 Fe8 Cl24'
_symmetry_space_group_name_H-M 'C 1 2/c 1'
_symmetry_Int_Tables_number 15
_symmetry_space_group_name_Hall '-C 2yc'
_cell_length_a 13.733
_cell_length_b 13.512
_cell_length_c 7.012
_cell_angle_alpha 90.00
_cell_angle_beta 98.79
_cell_angle_gamma 90.00
loop_
_atom_site_label
_atom_site_type_symbol
_atom_site_fract_x
_atom_site_fract_y
_atom_site_fract_z
K1 K 0.000 0.195 0.250
Tl1 Tl 0.000 0.401 0.750
Fe1 Fe 0.209 0.085 0.780
Cl1 Cl 0.124 0.400 0.177
Cl2 Cl 0.132 0.221 0.651
Cl3 Cl 0.155 0.048 0.074


# AsRuW2, optimized geometry, DFT PBE
# energy: -9.788 eV/atom
# energy relative to the elements: 0.170 eV per atom
data_AsRuW2
_chemical_formula_sum 'As2 Ru2 W4'
_symmetry_space_group_name_H-M 'I m m 2'
_symmetry_Int_Tables_number 44
_symmetry_space_group_name_Hall 'I 2 -2'
_cell_length_a 2.995
_cell_length_b 4.475
_cell_length_c 9.044
_cell_angle_alpha 90.00
_cell_angle_beta 90.00
_cell_angle_gamma 90.00
loop_
_atom_site_label
_atom_site_type_symbol
_atom_site_fract_x
_atom_site_fract_y
_atom_site_fract_z
As1 As 0.000 0.000 0.000
Ru1 Ru 0.000 0.500 0.719
W1 W 0.000 0.000 0.483
W2 W 0.000 0.500 0.272


# Rb2AuBrF6, optimized geometry, DFT PBE
# energy: -3.427 eV/atom
# raw formation energy: -1.6155 eV per atom
data_Rb2AuBrF6
_chemical_formula_sum 'Rb4 Au2 Br2 F12'
_symmetry_space_group_name_H-M 'I 4/m m m'
_symmetry_Int_Tables_number 139
_symmetry_space_group_name_Hall '-I 4 2'
_cell_length_a 6.585
_cell_length_b 6.585
_cell_length_c 9.926
_cell_angle_alpha 90.00
_cell_angle_beta 90.00
_cell_angle_gamma 90.00
loop_
_atom_site_label
_atom_site_type_symbol
_atom_site_fract_x
_atom_site_fract_y
_atom_site_fract_z
Rb1 Rb 0.000 0.500 0.250
Au1 Au 0.000 0.000 0.000
Br1 Br 0.000 0.000 0.500
F1 F 0.000 0.000 0.204
F2 F 0.212 0.212 0.500


The records above yield size of the total moment values of 32.00; 0.00; 0.00 μB per cell, respectively.